[1]
The following is a DFT calculation (PBE) of an optimized crystal structure of Ag2Pd2Pt.

extended XYZ file:
```
5
Lattice="-1.8868 1.8868 6.1159 1.8868 -1.8868 6.1159 1.8868 1.8868 -6.1159" Properties=species:S:1:pos:R:3 pbc="T T T"
Pd 0.0000 0.0000 7.3182
Pt 0.0000 0.0000 0.0000
Pd 0.0000 0.0000 4.9136
Ag 1.8868 0.0000 3.0580
Ag 0.0000 1.8868 3.0580
```

Results
Space group   I4/mmm (139)
Formation energy   48.4 kJ/mol of atoms
DFT total energy   -19.5 eV per cell
Total magnetic moment   0.3 μB per formula unit

***

[2]
The following is a DFT calculation (PBE) of an optimized crystal structure of NpZn2.

extended XYZ file:
```
12
Lattice="-0.0976 4.5745 1.2515 -8.5177 -1.9372 6.4163 2.5278 -0.7982 3.1147" Properties=species:S:1:pos:R:3 pbc="T T T"
Np 1.2320 1.0961 1.9664
Np -0.0007 0.0318 0.0087
Zn -0.4324 3.0067 3.8068
Np -4.3083 1.3482 3.8420
Zn -1.4113 0.4864 3.9554
Np -3.0756 2.4125 5.7997
Zn -6.9520 0.7555 5.8357
Zn -4.6420 -0.2483 6.3891
Zn -1.6649 1.9579 1.8530
Zn -2.6439 -0.5624 2.0016
Zn -5.7185 1.8044 7.7889
Zn -5.8754 -1.2973 4.4359
```

Results
Space group   Cmcm (63)
Formation energy   1.6 kJ/mol of atoms
DFT total energy   -61.0 eV per cell
Total magnetic moment   3.0 μB per formula unit

***

[3]
The following is a DFT calculation (PBE) of an optimized crystal structure of NdTlSi.

extended XYZ file:
```
3
Lattice="0.0000 3.4624 3.4624 3.4624 0.0000 3.4624 3.4624 3.4624 0.0000" Properties=species:S:1:pos:R:3 pbc="T T T"
Tl 5.1935 5.1935 5.1935
Nd 1.7312 1.7312 1.7312
Si 0.0000 0.0000 0.0000
```

Results
Space group   F-43m (216)
DFT total energy   -12.9 eV per cell
Distance to the lowest polymorph of the same formula   0 meV per atom
Total magnetic moment   0.0 μB per formula unit